Entry P
# BaNa2SiBi GGA-PBE optimized geometry
data_BaNa2SiBi
_cell_length_a 5.525
_cell_length_b 5.525
_cell_length_c 6.150
_cell_angle_alpha 90.00
_cell_angle_beta 90.00
_cell_angle_gamma 90.00
_space_group_name_H-M_alt 'P 4/m m m'
_space_group_IT_number 123
_space_group_name_Hall '-P 4 2'
loop_
_atom_site_label
_atom_site_fract_x
_atom_site_fract_y
_atom_site_fract_z
Ba1 0.000 0.000 0.000
Na1 0.000 0.500 0.500
Si1 0.000 0.000 0.500
Bi1 0.500 0.500 0.000
# Crystal system: tetragonal

***

Entry Q
# BaNa2SiBi GGA-PBE optimized geometry
data_BaNa2SiBi
_cell_length_a 6.256
_cell_length_b 6.256
_cell_length_c 6.298
_cell_angle_alpha 90.00
_cell_angle_beta 90.00
_cell_angle_gamma 90.00
_space_group_name_H-M_alt 'P 4/m m m'
_space_group_IT_number 123
_space_group_name_Hall '-P 4 2'
loop_
_atom_site_label
_atom_site_fract_x
_atom_site_fract_y
_atom_site_fract_z
Ba1 0.000 0.000 0.000
Na1 0.000 0.500 0.000
Si1 0.500 0.500 0.500
Bi1 0.000 0.000 0.500
# Crystal system: tetragonal

***

entry P has the most favorable energy; the next structure is 0.988 eV/atom above.

***

Entry P
# BaNa2BiW GGA-PBE optimized geometry
data_BaNa2BiW
_cell_length_a 5.841
_cell_length_b 5.841
_cell_length_c 5.441
_cell_angle_alpha 90.00
_cell_angle_beta 90.00
_cell_angle_gamma 90.00
_space_group_name_H-M_alt 'P 4/m m m'
_space_group_IT_number 123
_space_group_name_Hall '-P 4 2'
loop_
_atom_site_label
_atom_site_fract_x
_atom_site_fract_y
_atom_site_fract_z
Ba1 0.000 0.000 0.000
Na1 0.000 0.500 0.500
Bi1 0.500 0.500 0.500
W1 0.500 0.500 0.000
# Crystal system: tetragonal

***

Entry Q
# BaNa2BiW GGA-PBE optimized geometry
data_BaNa2BiW
_cell_length_a 5.714
_cell_length_b 5.714
_cell_length_c 6.412
_cell_angle_alpha 90.00
_cell_angle_beta 90.00
_cell_angle_gamma 90.00
_space_group_name_H-M_alt 'P 4/m m m'
_space_group_IT_number 123
_space_group_name_Hall '-P 4 2'
loop_
_atom_site_label
_atom_site_fract_x
_atom_site_fract_y
_atom_site_fract_z
Ba1 0.000 0.000 0.000
Na1 0.000 0.500 0.500
Bi1 0.500 0.500 0.000
W1 0.000 0.000 0.500
# Crystal system: tetragonal

***

entry P has the most favorable energy; the next structure is 0.365 eV/atom above.

***

Entry P
# BaNb3Bi GGA-PBE optimized geometry
data_BaNb3Bi
_cell_length_a 5.140
_cell_length_b 5.140
_cell_length_c 5.140
_cell_angle_alpha 90.00
_cell_angle_beta 90.00
_cell_angle_gamma 90.00
_space_group_name_H-M_alt 'P m -3 m'
_space_group_IT_number 221
_space_group_name_Hall '-P 4 2 3'
loop_
_atom_site_label
_atom_site_fract_x
_atom_site_fract_y
_atom_site_fract_z
Ba1 0.000 0.000 0.000
Nb1 0.000 0.000 0.500
Bi1 0.500 0.500 0.500
# Crystal system: cubic

***

Entry Q
# BaNb3Bi GGA-PBE optimized geometry
data_BaNb3Bi
_cell_length_a 5.354
_cell_length_b 5.354
_cell_length_c 5.354
_cell_angle_alpha 90.00
_cell_angle_beta 90.00
_cell_angle_gamma 90.00
_space_group_name_H-M_alt 'P m -3 m'
_space_group_IT_number 221
_space_group_name_Hall '-P 4 2 3'
loop_
_atom_site_label
_atom_site_fract_x
_atom_site_fract_y
_atom_site_fract_z
Ba1 0.000 0.000 0.000
Nb1 0.000 0.500 0.500
Bi1 0.500 0.500 0.500
# Crystal system: cubic

***

entry Q has the most favorable energy; the next structure is 0.749 eV/atom above.

***

Entry P
# BaNbBi2 GGA-PBE optimized geometry
data_BaNbBi2
_cell_length_a 3.7103
_cell_length_b 3.7103
_cell_length_c 33.7388
_cell_angle_alpha 90.00
_cell_angle_beta 90.00
_cell_angle_gamma 120.00
_space_group_name_H-M_alt 'R -3 m'
_space_group_IT_number 166
_space_group_name_Hall '-R 3 2"'
loop_
_atom_site_label
_atom_site_fract_x
_atom_site_fract_y
_atom_site_fract_z
Ba1 0.0000 0.0000 0.0000
Nb1 0.0000 0.0000 0.5000
Bi1 0.0000 0.0000 0.1061
# Crystal system: trigonal

***

Entry Q
# BaNbBi2 GGA-PBE optimized geometry
data_BaNbBi2
_cell_length_a 7.824
_cell_length_b 7.824
_cell_length_c 7.824
_cell_angle_alpha 90.00
_cell_angle_beta 90.00
_cell_angle_gamma 90.00
_space_group_name_H-M_alt 'F m -3 m'
_space_group_IT_number 225
_space_group_name_Hall '-F 4 2 3'
loop_
_atom_site_label
_atom_site_fract_x
_atom_site_fract_y
_atom_site_fract_z
Ba1 0.000 0.000 0.000
Nb1 0.000 0.000 0.500
Bi1 0.250 0.250 0.250
# Crystal system: cubic

***

entry Q has the most favorable energy; the next structure is 0.069 eV/atom above.

***

Entry P
# BaNbBi3 GGA-PBE optimized geometry
data_BaNbBi3
_cell_length_a 6.080
_cell_length_b 6.080
_cell_length_c 6.080
_cell_angle_alpha 90.00
_cell_angle_beta 90.00
_cell_angle_gamma 90.00
_space_group_name_H-M_alt 'P m -3 m'
_space_group_IT_number 221
_space_group_name_Hall '-P 4 2 3'
loop_
_atom_site_label
_atom_site_fract_x
_atom_site_fract_y
_atom_site_fract_z
Ba1 0.000 0.000 0.000
Nb1 0.500 0.500 0.500
Bi1 0.000 0.000 0.500
# Crystal system: cubic

***

Entry Q
# BaNbBi3 GGA-PBE optimized geometry
data_BaNbBi3
_cell_length_a 5.619
_cell_length_b 5.619
_cell_length_c 5.619
_cell_angle_alpha 90.00
_cell_angle_beta 90.00
_cell_angle_gamma 90.00
_space_group_name_H-M_alt 'P m -3 m'
_space_group_IT_number 221
_space_group_name_Hall '-P 4 2 3'
loop_
_atom_site_label
_atom_site_fract_x
_atom_site_fract_y
_atom_site_fract_z
Ba1 0.000 0.000 0.000
Nb1 0.500 0.500 0.500
Bi1 0.000 0.500 0.500
# Crystal system: cubic

***

entry Q has the most favorable energy; the next structure is 1.938 eV/atom above.

***

Entry P
# Ba2Ni2Bi GGA-PBE optimized geometry
data_Ba2Ni2Bi
_cell_length_a 7.640
_cell_length_b 7.640
_cell_length_c 4.751
_cell_angle_alpha 90.00
_cell_angle_beta 90.00
_cell_angle_gamma 90.00
_space_group_name_H-M_alt 'P 4/m b m'
_space_group_IT_number 127
_space_group_name_Hall '-P 4 2ab'
loop_
_atom_site_label
_atom_site_fract_x
_atom_site_fract_y
_atom_site_fract_z
Ba1 0.186 0.314 0.000
Ni1 0.108 0.608 0.500
Bi1 0.000 0.000 0.500
# Crystal system: tetragonal

***

Entry Q
# Ba2Ni2Bi GGA-PBE optimized geometry
data_Ba2Ni2Bi
_cell_length_a 6.261
_cell_length_b 6.261
_cell_length_c 7.717
_cell_angle_alpha 90.00
_cell_angle_beta 90.00
_cell_angle_gamma 90.00
_space_group_name_H-M_alt 'I 4/m m m'
_space_group_IT_number 139
_space_group_name_Hall '-I 4 2'
loop_
_atom_site_label
_atom_site_fract_x
_atom_site_fract_y
_atom_site_fract_z
Ba1 0.000 0.500 0.250
Ni1 0.000 0.000 0.150
Bi1 0.000 0.000 0.500
# Crystal system: tetragonal

***

entry P has the most favorable energy; the next structure is 0.045 eV/atom above.